Density functional theory data (PBE-GGA) for an optimized crystal structure of CeZrSe4.

Output
polymorph energy (0 for the lowest one): 0.000 eV per atom
uncorrected formation energy: -1.425 eV/atom
space-group type: C2/m, No. 12

The structure in extended XYZ format:
```
12
Lattice="-1.618 -1.430 -3.390 -4.521 -3.822 3.770 -7.280 11.326 -1.302" Properties=species:S:1:pos:R:3 pbc="T T T"
Se -7.795 8.870 -2.403
Se -3.347 3.922 -0.058
Se -10.072 2.152 -0.865
Se -6.541 1.147 0.256
Se -6.878 4.927 -1.179
Se -9.373 7.525 1.299
Se -5.624 -2.797 1.480
Se -4.046 -1.451 -2.222
Zr 0.000 0.000 0.000
Zr -4.449 4.948 -2.346
Ce -3.069 -2.626 0.190
Ce -5.901 3.752 1.234
```



Density functional theory data (PBE-GGA) for an optimized crystal structure of PdIO2F.

Output
uncorrected formation energy: 0.014 eV/atom
space-group type: P4/mmm, No. 123

The structure in extended XYZ format:
```
5
Lattice="-0.834 3.578 1.904 -3.945 -1.163 0.459 0.936 -1.731 3.663" Properties=species:S:1:pos:R:3 pbc="T T T"
F 0.468 -0.866 1.831
O -1.973 -0.582 0.229
O -0.417 1.789 0.952
Pd 0.000 0.000 0.000
I -1.921 0.342 3.013
```



Density functional theory data (PBE-GGA) for an optimized crystal structure of TaTi2Ga6.

Output
energy relative to the elements: -0.118 eV per atom
space-group type: C2/m, No. 12

The structure in extended XYZ format:
```
9
Lattice="5.629 -0.320 -0.185 -0.523 5.948 0.410 -0.523 3.319 4.953" Properties=species:S:1:pos:R:3 pbc="T T T"
Ta 0.000 0.000 0.000
Ti 4.193 5.499 3.182
Ti 0.389 3.448 1.995
Ga 0.489 7.480 4.329
Ga 4.093 1.467 0.849
Ga 1.416 6.209 2.151
Ga 1.416 4.959 4.312
Ga 3.166 3.988 0.866
Ga 3.166 2.738 3.026
```



Density functional theory data (PBE-GGA) for an optimized crystal structure of CsAc3Re4N12.

Output
uncorrected formation energy: -0.039 eV/atom
space-group type: R32, No. 155

The structure in extended XYZ format:
```
20
Lattice="-3.848 -1.431 6.963 8.014 -0.341 1.000 -2.226 7.114 -3.126" Properties=species:S:1:pos:R:3 pbc="T T T"
N 0.036 6.031 -1.151
N 0.264 -1.052 6.814
N -0.418 3.682 1.859
N 0.750 1.512 3.786
N 3.758 -0.518 5.055
N -2.720 1.109 5.391
N 2.578 2.819 1.610
N 6.138 3.146 -0.180
N -3.789 3.457 3.693
N 3.059 5.399 -1.200
N -3.491 5.919 0.621
N 5.476 0.550 2.720
Ac -2.955 3.270 1.412
Ac 3.408 3.013 -0.856
Ac 1.488 -0.941 4.281
Re 0.970 2.671 2.418
Re 1.665 6.334 -1.906
Re -4.114 2.204 4.974
Re 5.359 -0.524 4.187
Cs 0.000 0.000 0.000
```



Density functional theory data (PBE-GGA) for an optimized crystal structure of Ti8As2H3.

Output
E_tot: -6.68 eV/atom
space-group type: C2/m, No. 12

The structure in extended XYZ format:
```
13
Lattice="-0.461 -4.386 0.681 4.658 -1.396 -5.847 2.139 2.666 6.013" Properties=species:S:1:pos:R:3 pbc="T T T"
Ti 5.701 0.385 -0.496
Ti 4.639 -1.596 1.384
Ti 0.635 -3.501 1.342
Ti 2.861 -3.972 -1.718
Ti 1.697 -1.520 -0.538
Ti 4.233 -2.280 -3.722
Ti 2.103 -0.836 4.568
Ti 3.476 0.855 2.564
H 1.685 -0.505 -2.115
H -0.230 -2.193 0.340
H 2.973 -0.891 -3.732
As 2.116 -1.319 2.001
As 4.220 -1.797 -1.155
```



Density functional theory data (PBE-GGA) for an optimized crystal structure of VCrIr.

Output
polymorph energy (0 for the lowest one): 0.000 eV per atom
energy relative to the elements: -0.155 eV per atom
space-group type: P3m1, No. 156

The structure in extended XYZ format:
```
3
Lattice="2.656 0.000 0.000 0.000 4.150 0.000 0.000 -2.075 3.594" Properties=species:S:1:pos:R:3 pbc="T T T"
Cr 0.162 0.000 0.000
V 0.743 2.075 1.198
Ir 1.752 0.000 2.396
```